# Ti2AlCuPb

Crystalline Ti2AlCuPb at its relaxed geometry (PBE, Alexandria).

The structure in extended XYZ format:
```
5
Lattice="-0.100 2.085 -4.235 -4.624 -1.249 -0.506 -1.317 4.055 2.028" Properties=species:S:1:pos:R:3 pbc="T T T"
Pb -2.312 -0.625 -0.253
Al -3.021 2.445 -1.356
Cu 0.000 0.000 0.000
Ti -0.659 2.027 1.014
Ti -0.050 1.043 -2.117
```

Magnetization in Bohr magnetons per cell: 0.00
ΔE_f in kJ/mol of atoms: 65
Final energy in eV per atom: -4.797
Space-group type: No. 123